DFT (PBE) results for a relaxed KTlAsAu2 crystal.

Cell lengths 5.094, 5.815, 5.094 Å; angles 90.00, 90.00, 90.00 degrees
Element x y z (fractional)
K 0.500 0.500 0.500
Tl 0.000 0.500 0.000
Au 0.000 0.000 0.500
Au 0.500 0.000 0.000
As 0.000 0.000 0.000

## Properties
V: 30.18 Å³ per atom
total magnetization: 0.00 μB per formula unit
energy of formation from the pure elements: -0.0010 eV per atom


DFT (PBE) results for a relaxed CaThIr crystal.

Cell lengths 4.887, 4.878, 8.785 Å; angles 106.21, 90.00, 120.06 degrees
Element x y z (fractional)
Th 0.121 0.242 0.861
Th 0.879 0.758 0.139
Ca 0.370 0.740 0.609
Ca 0.630 0.260 0.391
Ir 0.238 0.475 0.213
Ir 0.762 0.525 0.787

## Properties
V: 28.59 Å³ per atom
total magnetization: 0.00 μB per formula unit
relative energy among the computed polymorphs: 0.227 eV per formula unit
energy of formation from the pure elements: -0.5430 eV per atom


DFT (PBE) results for a relaxed Tl2MoCl6 crystal.

Cell lengths 7.113, 7.113, 7.113 Å; angles 60.00, 60.00, 60.00 degrees
Each line ends with the local moment (μB).
Element x y z (fractional)
Tl 0.250 0.250 0.250  0.01
Tl 0.750 0.750 0.750  0.01
Mo 0.000 0.000 0.000  1.67
Cl 0.238 0.762 0.238  0.01
Cl 0.238 0.762 0.762  0.01
Cl 0.762 0.238 0.238  0.01
Cl 0.762 0.762 0.238  0.01
Cl 0.238 0.238 0.762  0.01
Cl 0.762 0.238 0.762  0.01

## Properties
V: 28.27 Å³ per atom
total magnetization: 2.00 μB per formula unit
formation energy (no corrections): -93.4 kJ/mol of atoms


DFT (PBE) results for a relaxed AcPa2PtN5 crystal.

Cell lengths 6.651, 6.651, 7.601 Å; angles 115.95, 115.95, 90.00 degrees
Element x y z (fractional)
Ac 0.250 0.250 0.500
Ac 0.750 0.750 0.500
Pa 0.175 0.325 0.000
Pa 0.675 0.175 0.000
Pa 0.325 0.825 0.000
Pa 0.825 0.675 0.000
Pt 0.250 0.750 0.500
Pt 0.750 0.250 0.500
N 0.972 0.472 0.239
N 0.733 0.233 0.761
N 0.028 0.528 0.761
N 0.233 0.028 0.761
N 0.528 0.733 0.761
N 0.767 0.972 0.239
N 0.472 0.267 0.239
N 0.267 0.767 0.239
N 0.500 0.500 0.000
N 0.000 0.000 0.000

## Properties
V: 14.68 Å³ per atom
total magnetization: 0.00 μB per formula unit
formation energy (no corrections): -103.2 kJ/mol of atoms


DFT (PBE) results for a relaxed Cs2NpAgCl6 crystal.

Cell lengths 6.687, 7.657, 7.657 Å; angles 120.00, 90.00, 90.00 degrees
Each line ends with the local moment (μB).
Element x y z (fractional)
Cs 0.219 0.333 0.667  0.00
Cs 0.781 0.667 0.333  0.00
Np 0.500 0.000 0.000  3.94
Ag 0.000 0.000 0.000  0.01
Cl 0.742 0.166 0.332  -0.01
Cl 0.742 0.166 0.834  -0.01
Cl 0.742 0.668 0.834  -0.01
Cl 0.258 0.834 0.166  -0.01
Cl 0.258 0.332 0.166  -0.01
Cl 0.258 0.834 0.668  -0.01

## Properties
V: 33.95 Å³ per atom
total magnetization: 4.00 μB per formula unit
formation energy (no corrections): -155.4 kJ/mol of atoms


DFT (PBE) results for a relaxed TaTl2Cu crystal.

Cell lengths 3.131, 5.328, 4.982 Å; angles 90.00, 90.00, 90.00 degrees
Element x y z (fractional)
Cu 0.500 0.000 0.500
Ta 0.000 0.500 0.500
Tl 0.000 0.000 0.000
Tl 0.500 0.500 0.000

## Properties
V: 20.78 Å³ per atom
total magnetization: 0.00 μB per formula unit
relative energy among the computed polymorphs: 1.052 eV per formula unit
energy of formation from the pure elements: 0.6919 eV per atom


DFT (PBE) results for a relaxed Er4Ir2Ru crystal.

Cell lengths 4.778, 4.778, 8.234 Å; angles 73.13, 73.13, 60.00 degrees
Element x y z (fractional)
Er 0.875 0.875 0.375
Er 0.125 0.125 0.625
Er 0.624 0.624 0.127
Er 0.376 0.376 0.873
Ir 0.750 0.750 0.751
Ir 0.250 0.250 0.249
Ru 0.000 0.000 0.000

## Properties
V: 21.91 Å³ per atom
total magnetization: 0.00 μB per formula unit
energy of formation from the pure elements: -0.7251 eV per atom


DFT (PBE) results for a relaxed MnAgAsBr2 crystal.

Cell lengths 5.259, 5.259, 4.742 Å; angles 90.00, 90.00, 90.00 degrees
Each line ends with the local moment (μB).
Element x y z (fractional)
As 0.000 0.000 0.500  -0.46
Mn 0.000 0.000 0.000  3.59
Br 0.000 0.500 0.000  -0.04
Br 0.500 0.000 0.000  -0.04
Ag 0.500 0.500 0.500  0.02

## Properties
V: 26.24 Å³ per atom
total magnetization: 2.91 μB per formula unit
relative energy among the computed polymorphs: 0.000 eV per formula unit
formation energy (no corrections): 16.0 kJ/mol of atoms


DFT (PBE) results for a relaxed Sb2RuAu crystal.

Cell lengths 3.212, 3.212, 7.945 Å; angles 90.00, 90.00, 90.00 degrees
Element x y z (fractional)
Au 0.500 0.500 0.250
Ru 0.500 0.500 0.750
Sb 0.000 0.000 0.964
Sb 0.000 0.000 0.536

## Properties
V: 20.49 Å³ per atom
total magnetization: 0.00 μB per formula unit
relative energy among the computed polymorphs: 0.195 eV per formula unit
formation energy (no corrections): 10.2 kJ/mol of atoms


DFT (PBE) results for a relaxed Er2ThIn crystal.

Cell lengths 5.438, 5.438, 5.438 Å; angles 60.00, 60.00, 60.00 degrees
Each line ends with the local moment (μB).
Element x y z (fractional)
In 0.500 0.500 0.500  0.00
Th 0.000 0.000 0.000  0.34
Er 0.250 0.250 0.250  0.21
Er 0.750 0.750 0.750  0.21

## Properties
V: 28.43 Å³ per atom
total magnetization: 1.03 μB per formula unit
relative energy among the computed polymorphs: 0.928 eV per formula unit
energy of formation from the pure elements: -0.0137 eV per atom


DFT (PBE) results for a relaxed BaCaBiBr crystal.

Cell lengths 5.326, 5.326, 13.628 Å; angles 78.73, 78.73, 60.00 degrees
Element x y z (fractional)
Ba 0.608 0.608 0.176
Ba 0.392 0.392 0.824
Ca 0.804 0.804 0.588
Ca 0.196 0.196 0.412
Bi 0.113 0.113 0.661
Bi 0.887 0.887 0.339
Br 0.696 0.696 0.913
Br 0.304 0.304 0.087

## Properties
V: 40.77 Å³ per atom
total magnetization: 0.00 μB per formula unit
formation energy (no corrections): -134.5 kJ/mol of atoms


DFT (PBE) results for a relaxed ZrBe2As crystal.

Cell lengths 3.702, 3.449, 4.718 Å; angles 89.96, 90.00, 90.00 degrees
Element x y z (fractional)
Be 0.000 0.000 0.015
Be 0.500 0.001 0.250
As 0.500 0.999 0.740
Zr 0.000 0.500 0.495

## Properties
V: 15.06 Å³ per atom
total magnetization: 0.00 μB per formula unit
energy of formation from the pure elements: -0.1643 eV per atom